1.
## CsSn6 (GGA-PBE)

Data for a relaxed structure of CsSn6.

Lattice parameters (Å, degrees): 7.133 7.133 7.133 109.47 109.47 109.47
Positions (direct):
Cs 0.000 0.000 0.000
Sn 0.250 0.500 0.750
Sn 0.250 0.750 0.500
Sn 0.500 0.250 0.750
Sn 0.500 0.750 0.250
Sn 0.750 0.250 0.500
Sn 0.750 0.500 0.250

Summary:
DOS(E_F): 3.2 states/eV/f.u.
Energy relative to the elements: -0.082 eV/atom
Total magnetic moment: 0.000 μB per formula unit
Symmetry: Im-3m, No. 229
Raw total energy: -0.26716 Ry/atom



2.
## CsSn (GGA-PBE)

Data for a relaxed structure of CsSn.

Lattice parameters (Å, degrees): 9.145 9.145 3.983 90.00 90.00 120.00
Positions (direct):
Cs 0.000 0.572 0.000
Cs 0.428 0.428 0.000
Cs 0.572 0.000 0.000
Sn 0.000 0.187 0.500
Sn 0.187 0.000 0.500
Sn 0.813 0.813 0.500

Summary:
DOS(E_F): 1.2 states/eV/f.u.
Energy relative to the elements: -0.135 eV/atom
Total magnetic moment: 0.000 μB per formula unit
Symmetry: P-62m, No. 189
Raw total energy: -0.18840 Ry/atom



3.
## CsSn (GGA-PBE)

Data for a relaxed structure of CsSn.

Lattice parameters (Å, degrees): 9.163 9.163 9.163 94.34 94.34 148.06
Positions (direct):
Cs 0.142 0.185 0.326
Cs 0.185 0.858 0.043
Cs 0.815 0.142 0.957
Cs 0.858 0.815 0.674
Sn 0.117 0.521 0.638
Sn 0.479 0.117 0.596
Sn 0.521 0.883 0.404
Sn 0.883 0.479 0.362

Summary:
DOS(E_F): 0.8 states/eV/f.u.
Energy relative to the elements: -0.138 eV/atom
Total magnetic moment: 0.160 μB per formula unit
Symmetry: I4/m, No. 87
Raw total energy: -0.18860 Ry/atom



4.
## CsSn3 (GGA-PBE)

Data for a relaxed structure of CsSn3.

Lattice parameters (Å, degrees): 8.187 8.187 5.513 90.00 90.00 119.87
Positions (direct):
Cs 0.166 0.834 0.750
Cs 0.834 0.166 0.250
Sn 0.252 0.376 0.750
Sn 0.376 0.252 0.250
Sn 0.376 0.624 0.250
Sn 0.624 0.376 0.750
Sn 0.624 0.748 0.750
Sn 0.748 0.624 0.250

Summary:
DOS(E_F): 1.7 states/eV/f.u.
Energy relative to the elements: -0.167 eV/atom
Total magnetic moment: 0.000 μB per formula unit
Symmetry: Cmcm, No. 63
Raw total energy: -0.24862 Ry/atom



5.
## CsSn5 (GGA-PBE)

Data for a relaxed structure of CsSn5.

Lattice parameters (Å, degrees): 9.309 9.309 3.546 90.00 90.00 140.83
Positions (direct):
Cs 0.000 0.000 0.000
Sn 0.197 0.803 0.500
Sn 0.345 0.655 0.000
Sn 0.500 0.500 0.500
Sn 0.655 0.345 0.000
Sn 0.803 0.197 0.500

Summary:
DOS(E_F): 3.1 states/eV/f.u.
Energy relative to the elements: 0.088 eV/atom
Total magnetic moment: 0.000 μB per formula unit
Symmetry: Cmmm, No. 65
Raw total energy: -0.24915 Ry/atom
Relative energy among the computed polymorphs: 19.1 kJ per mole of atoms



6.
## Cs2Sn3 (GGA-PBE)

Data for a relaxed structure of Cs2Sn3.

Lattice parameters (Å, degrees): 7.855 7.855 9.222 90.00 90.00 131.88
Positions (direct):
Cs 0.163 0.837 0.887
Cs 0.337 0.663 0.387
Cs 0.663 0.337 0.613
Cs 0.837 0.163 0.113
Sn 0.000 0.000 0.500
Sn 0.163 0.337 0.750
Sn 0.337 0.163 0.250
Sn 0.500 0.500 0.000
Sn 0.663 0.837 0.750
Sn 0.837 0.663 0.250

Summary:
DOS(E_F): 3.0 states/eV/f.u.
Energy relative to the elements: -0.163 eV/atom
Total magnetic moment: 0.000 μB per formula unit
Symmetry: Cmce, No. 64
Raw total energy: -0.21360 Ry/atom



7.
## CsSn (GGA-PBE)

Data for a relaxed structure of CsSn.

Lattice parameters (Å, degrees): 11.238 11.238 11.238 90.00 90.00 90.00
Positions (direct):
Cs 0.000 0.250 0.500
Cs 0.000 0.750 0.500
Cs 0.250 0.500 0.000
Cs 0.500 0.000 0.250
Cs 0.500 0.000 0.750
Cs 0.750 0.500 0.000
Sn 0.000 0.500 0.250
Sn 0.000 0.500 0.750
Sn 0.250 0.000 0.500
Sn 0.500 0.250 0.000
Sn 0.500 0.750 0.000
Sn 0.750 0.000 0.500

Summary:
DOS(E_F): 0.1 states/eV/f.u.
Energy relative to the elements: 0.627 eV/atom
Total magnetic moment: 3.004 μB per formula unit
Symmetry: Pm-3n, No. 223
Raw total energy: -0.13239 Ry/atom



8.
## Cs3Sn11 (GGA-PBE)

Data for a relaxed structure of Cs3Sn11.

Lattice parameters (Å, degrees): 10.263 10.263 10.263 152.08 93.73 92.94
Positions (direct):
Cs 0.000 0.000 0.000
Cs 0.274 0.274 0.000
Cs 0.726 0.726 0.000
Sn 0.044 0.376 0.668
Sn 0.138 0.846 0.292
Sn 0.292 0.624 0.668
Sn 0.346 0.500 0.846
Sn 0.446 0.154 0.292
Sn 0.500 0.000 0.500
Sn 0.554 0.846 0.708
Sn 0.654 0.500 0.154
Sn 0.708 0.376 0.332
Sn 0.862 0.154 0.708
Sn 0.956 0.624 0.332

Summary:
DOS(E_F): 5.2 states/eV/f.u.
Energy relative to the elements: -0.117 eV/atom
Total magnetic moment: 0.000 μB per formula unit
Symmetry: Immm, No. 71
Raw total energy: -0.25321 Ry/atom



Question: Which of these has the highest raw total energy?
Answer: number 7



Question: Which value of total magnetic moment does entry 6 give?
Answer: 0.000 μB per formula unit



Question: Which formula does entry 1 have?
Answer: CsSn6